(P)
# CaPb2Cl PBE optimized geometry
data_CaPb2Cl
_space_group_name_H-M_alt 'P 1'
_space_group_IT_number 1
_cell_length_a 5.531
_cell_length_b 5.531
_cell_length_c 5.531
_cell_angle_alpha 60.00
_cell_angle_beta 60.00
_cell_angle_gamma 60.00
loop_
_space_group_symop_operation_xyz
'x,y,z'
loop_
_atom_site_label
_atom_site_fract_x
_atom_site_fract_y
_atom_site_fract_z
Ca1 0.500 0.500 0.500
Pb1 0.750 0.750 0.750
Pb2 0.250 0.250 0.250
Cl1 0.000 0.000 0.000
# - Total magnetization: 0.000 μB per atom
# - Crystal system: cubic
# - Volume: 29.92 Å³/atom

---

(Q)
# CaPb2Cl PBE optimized geometry
data_CaPb2Cl
_space_group_name_H-M_alt 'P 1'
_space_group_IT_number 1
_cell_length_a 5.741
_cell_length_b 5.741
_cell_length_c 3.513
_cell_angle_alpha 90.00
_cell_angle_beta 90.00
_cell_angle_gamma 90.30
loop_
_space_group_symop_operation_xyz
'x,y,z'
loop_
_atom_site_label
_atom_site_fract_x
_atom_site_fract_y
_atom_site_fract_z
Pb1 0.000 0.000 0.000
Pb2 0.500 0.500 0.000
Ca1 0.500 0.000 0.500
Cl1 0.000 0.500 0.500
# - Total magnetization: 0.000 μB per atom
# - Crystal system: orthorhombic
# - Volume: 28.95 Å³/atom

---

Stability ranking, top and bottom: (Q) is the most stable and (P) is the least stable.

---

(P)
# Ca2PbCl PBE optimized geometry
data_Ca2PbCl
_space_group_name_H-M_alt 'P 1'
_space_group_IT_number 1
_cell_length_a 3.745
_cell_length_b 3.745
_cell_length_c 8.214
_cell_angle_alpha 90.00
_cell_angle_beta 90.00
_cell_angle_gamma 90.31
loop_
_space_group_symop_operation_xyz
'x,y,z'
loop_
_atom_site_label
_atom_site_fract_x
_atom_site_fract_y
_atom_site_fract_z
Pb1 0.500 0.500 0.750
Ca1 0.000 0.000 0.508
Ca2 0.000 0.000 0.992
Cl1 0.500 0.500 0.250
# - Total magnetization: 0.000 μB per atom
# - Crystal system: orthorhombic
# - Volume: 28.80 Å³/atom

---

(Q)
# Ca2PbCl PBE optimized geometry
data_Ca2PbCl
_space_group_name_H-M_alt 'P 1'
_space_group_IT_number 1
_cell_length_a 5.598
_cell_length_b 3.804
_cell_length_c 5.600
_cell_angle_alpha 90.00
_cell_angle_beta 90.00
_cell_angle_gamma 90.00
loop_
_space_group_symop_operation_xyz
'x,y,z'
loop_
_atom_site_label
_atom_site_fract_x
_atom_site_fract_y
_atom_site_fract_z
Ca1 0.500 0.251 0.375
Ca2 0.000 0.250 0.875
Pb1 0.500 0.750 0.875
Cl1 0.000 0.249 0.375
# - Total magnetization: 0.000 μB per atom
# - Crystal system: tetragonal
# - Volume: 29.81 Å³/atom

---

Stability ranking, top and bottom: (Q) is the most stable and (P) is the least stable.

---

(P)
# Ca2PbCl PBE optimized geometry
data_Ca2PbCl
_space_group_name_H-M_alt 'P 1'
_space_group_IT_number 1
_cell_length_a 5.638
_cell_length_b 5.638
_cell_length_c 3.567
_cell_angle_alpha 89.40
_cell_angle_beta 89.40
_cell_angle_gamma 90.00
loop_
_space_group_symop_operation_xyz
'x,y,z'
loop_
_atom_site_label
_atom_site_fract_x
_atom_site_fract_y
_atom_site_fract_z
Ca1 0.000 0.000 0.000
Ca2 0.500 0.500 0.000
Cl1 0.500 0.000 0.500
Pb1 0.000 0.500 0.500
# - Total magnetization: 0.000 μB per atom
# - Crystal system: monoclinic
# - Volume: 28.35 Å³/atom

---

(Q)
# Ca2PbCl PBE optimized geometry
data_Ca2PbCl
_space_group_name_H-M_alt 'P 1'
_space_group_IT_number 1
_cell_length_a 8.048
_cell_length_b 8.048
_cell_length_c 8.048
_cell_angle_alpha 30.91
_cell_angle_beta 30.91
_cell_angle_gamma 30.91
loop_
_space_group_symop_operation_xyz
'x,y,z'
loop_
_atom_site_label
_atom_site_fract_x
_atom_site_fract_y
_atom_site_fract_z
Pb1 0.750 0.750 0.750
Ca1 0.999 0.999 0.999
Ca2 0.501 0.501 0.501
Cl1 0.250 0.250 0.250
# - Total magnetization: 0.000 μB per atom
# - Crystal system: trigonal
# - Volume: 30.50 Å³/atom

---

(R)
# Ca2PbCl PBE optimized geometry
data_Ca2PbCl
_space_group_name_H-M_alt 'P 1'
_space_group_IT_number 1
_cell_length_a 5.581
_cell_length_b 5.581
_cell_length_c 5.581
_cell_angle_alpha 60.00
_cell_angle_beta 60.00
_cell_angle_gamma 60.00
loop_
_space_group_symop_operation_xyz
'x,y,z'
loop_
_atom_site_label
_atom_site_fract_x
_atom_site_fract_y
_atom_site_fract_z
Ca1 0.000 0.000 0.000
Ca2 0.250 0.250 0.250
Pb1 0.750 0.750 0.750
Cl1 0.500 0.500 0.500
# - Total magnetization: 0.000 μB per atom
# - Crystal system: cubic
# - Volume: 30.73 Å³/atom

---

(S)
# Ca2PbCl PBE optimized geometry
data_Ca2PbCl
_space_group_name_H-M_alt 'P 1'
_space_group_IT_number 1
_cell_length_a 3.602
_cell_length_b 3.602
_cell_length_c 10.138
_cell_angle_alpha 90.00
_cell_angle_beta 90.00
_cell_angle_gamma 89.99
loop_
_space_group_symop_operation_xyz
'x,y,z'
loop_
_atom_site_label
_atom_site_fract_x
_atom_site_fract_y
_atom_site_fract_z
Cl1 0.000 0.000 0.434
Ca1 0.000 0.000 0.990
Ca2 0.500 0.500 0.317
Pb1 0.500 0.500 0.758
# - Total magnetization: 0.000 μB per atom
# - Crystal system: tetragonal
# - Volume: 32.88 Å³/atom

---

Stability ranking, top and bottom: (Q) is the most stable and (R) is the least stable.